The following is a DFT calculation (PBE-GGA) of BaPr5Cd6 after structural relaxation.

## Properties
N(E_F): 14.0 states/eV/cell
ΔE_f: -0.2887 eV per atom
theoretical density: 6.884 g/cm³

Cell lengths 9.645, 9.645, 9.645 Å; angles 146.51, 131.77, 59.99 degrees
Fractional positions:
Ba  0.000  0.000  0.000
Pr  0.161  0.661  0.500
Pr  0.331  0.331  0.000
Pr  0.500  0.000  0.500
Pr  0.669  0.669  0.000
Pr  0.839  0.339  0.500
Cd  0.089  0.826  0.263
Cd  0.275  0.500  0.775
Cd  0.437  0.174  0.263
Cd  0.563  0.826  0.737
Cd  0.725  0.500  0.225
Cd  0.911  0.174  0.737



The following is a DFT calculation (PBE-GGA) of BaPr2Cd6 after structural relaxation.

## Properties
N(E_F): 5.1 states/eV/cell
ΔE_f: -0.2608 eV per atom
theoretical density: 6.953 g/cm³

Cell lengths 9.177, 9.177, 9.177 Å; angles 156.35, 121.99, 63.53 degrees
Fractional positions:
Ba  0.000  0.000  0.000
Pr  0.351  0.851  0.500
Pr  0.649  0.149  0.500
Cd  0.006  0.328  0.678
Cd  0.334  0.500  0.834
Cd  0.351  0.672  0.678
Cd  0.649  0.328  0.322
Cd  0.666  0.500  0.166
Cd  0.994  0.672  0.322



The following is a DFT calculation (PBE-GGA) of BaPrCd after structural relaxation.

## Properties
N(E_F): 3.3 states/eV/cell
ΔE_f: -0.1392 eV per atom
theoretical density: 5.593 g/cm³
polymorph energy (0 for the lowest one): 0.000 eV per formula unit

Cell lengths 7.621, 7.621, 7.621 Å; angles 149.16, 149.16, 44.17 degrees
Fractional positions:
Ba  0.000  0.000  0.000
Pr  0.279  0.279  0.000
Cd  0.666  0.666  0.000



The following is a DFT calculation (PBE-GGA) of Ba3PrCd4 after structural relaxation.

## Properties
N(E_F): 4.8 states/eV/cell
ΔE_f: -0.3096 eV per atom
theoretical density: 5.804 g/cm³

Cell lengths 4.120, 4.120, 16.899 Å; angles 90.00, 90.00, 90.00 degrees
Fractional positions:
Ba  0.000  0.000  0.000
Ba  0.000  0.000  0.262
Ba  0.000  0.000  0.738
Pr  0.000  0.000  0.500
Cd  0.500  0.500  0.130
Cd  0.500  0.500  0.399
Cd  0.500  0.500  0.601
Cd  0.500  0.500  0.870